Record 1
DFT (meta-GGA SCAN) results for a crystal of P2HSe relaxed with PBEsol.

The structure in CIF format:
```
data_P2HSe
_symmetry_space_group_name_H-M 'P 1'
_symmetry_Int_Tables_number 1
_symmetry_space_group_name_Hall 'P 1'
_cell_length_a 5.0758
_cell_length_b 5.0758
_cell_length_c 9.1574
_cell_angle_alpha 90.00
_cell_angle_beta 90.00
_cell_angle_gamma 90.00
loop_
_atom_site_label
_atom_site_type_symbol
_atom_site_fract_x
_atom_site_fract_y
_atom_site_fract_z
P1 P 0.1346 0.2500 0.1250
P2 P 0.2500 0.6346 0.3750
P3 P 0.2500 0.8654 0.8750
P4 P 0.3654 0.2500 0.6250
P5 P 0.6346 0.7500 0.6250
P6 P 0.7500 0.1346 0.8750
P7 P 0.7500 0.3654 0.3750
P8 P 0.8654 0.7500 0.1250
H1 H 0.0000 0.0000 0.0000
H2 H 0.0000 0.5000 0.2500
H3 H 0.5000 0.0000 0.7500
H4 H 0.5000 0.5000 0.5000
Se1 Se 0.0000 0.0000 0.5000
Se2 Se 0.0000 0.5000 0.7500
Se3 Se 0.5000 0.0000 0.2500
Se4 Se 0.5000 0.5000 0.0000
```

Summary:
Raw total energy   -10.246 eV/atom
Symmetry   No. 122

***

Record 2
DFT (meta-GGA SCAN) results for a crystal of La2TeCl relaxed with PBEsol.

The structure in CIF format:
```
data_La2TeCl
_symmetry_space_group_name_H-M 'P 1'
_symmetry_Int_Tables_number 1
_symmetry_space_group_name_Hall 'P 1'
_cell_length_a 4.2561
_cell_length_b 4.2561
_cell_length_c 6.4283
_cell_angle_alpha 90.00
_cell_angle_beta 90.00
_cell_angle_gamma 90.00
loop_
_atom_site_label
_atom_site_type_symbol
_atom_site_fract_x
_atom_site_fract_y
_atom_site_fract_z
La1 La 0.0000 0.0000 0.0000
La2 La 0.5000 0.5000 0.3855
Te1 Te 0.0000 0.0000 0.5056
Cl1 Cl 0.5000 0.5000 0.9303
```

Summary:
ΔE_f (raw)   -164 kJ/mol of atoms
Raw total energy   -34.561 eV/atom
Energy above the most stable polymorph in this dataset   20 meV per atom
Symmetry   No. 99

***

Record 3
DFT (meta-GGA SCAN) results for a crystal of MnAl2Ag relaxed with PBEsol.

The structure in CIF format:
```
data_MnAl2Ag
_symmetry_space_group_name_H-M 'P 1'
_symmetry_Int_Tables_number 1
_symmetry_space_group_name_Hall 'P 1'
_cell_length_a 8.6144
_cell_length_b 2.7934
_cell_length_c 4.9804
_cell_angle_alpha 90.00
_cell_angle_beta 101.79
_cell_angle_gamma 90.00
loop_
_atom_site_label
_atom_site_type_symbol
_atom_site_fract_x
_atom_site_fract_y
_atom_site_fract_z
Mn1 Mn 0.0000 0.0000 0.0000
Mn2 Mn 0.5000 0.5000 0.0000
Al1 Al 0.2453 0.5000 0.2310
Al2 Al 0.2547 0.0000 0.7690
Al3 Al 0.7453 0.0000 0.2310
Al4 Al 0.7547 0.5000 0.7690
Ag1 Ag 0.0000 0.5000 0.5000
Ag2 Ag 0.5000 0.0000 0.5000
```

Summary:
Raw total energy   -16.416 eV/atom
Energy above the most stable polymorph in this dataset   153 meV per atom
Symmetry   No. 12

***

Record 4
DFT (meta-GGA SCAN) results for a crystal of HfZnC3 relaxed with PBEsol.

The structure in CIF format:
```
data_HfZnC3
_symmetry_space_group_name_H-M 'P 1'
_symmetry_Int_Tables_number 1
_symmetry_space_group_name_Hall 'P 1'
_cell_length_a 4.2442
_cell_length_b 4.2442
_cell_length_c 4.2442
_cell_angle_alpha 90.00
_cell_angle_beta 90.00
_cell_angle_gamma 90.00
loop_
_atom_site_label
_atom_site_type_symbol
_atom_site_fract_x
_atom_site_fract_y
_atom_site_fract_z
Hf1 Hf 0.0000 0.0000 0.0000
Zn1 Zn 0.5000 0.5000 0.5000
C1 C 0.0000 0.0000 0.5000
C2 C 0.0000 0.5000 0.0000
C3 C 0.5000 0.0000 0.0000
```

Summary:
Raw total energy   -19.138 eV/atom
Symmetry   No. 221